# 1
VASP calculation (PBE) on a geometry-optimized Ac3Cd8Hg3 structure.

POSCAR file:
```
Ac3Cd8Hg3
1.0
-0.139 -3.866 3.350
7.235 -5.419 -2.045
7.254 1.234 5.634
Hg Cd Ac
3 8 3
direct
0.500 0.000 0.000
0.000 0.191 0.809
0.000 0.809 0.191
0.838 0.523 0.800
0.360 0.363 0.918
0.360 0.918 0.363
0.838 0.800 0.523
0.162 0.200 0.477
0.162 0.477 0.200
0.640 0.637 0.082
0.640 0.082 0.637
0.500 0.500 0.500
0.197 0.803 0.803
0.803 0.197 0.197
```

Results
density = 9.5 g cm⁻³
ΔE_f = -0.29 eV/atom

***

# 2
VASP calculation (PBE) on a geometry-optimized Ac4CdHg2 structure.

POSCAR file:
```
Ac4CdHg2
1.0
-1.947 3.751 3.816
-5.430 -0.224 1.698
-0.116 -4.472 8.584
Ac Hg Cd
4 2 1
direct
0.872 0.872 0.384
0.128 0.128 0.616
0.380 0.380 0.861
0.620 0.620 0.139
0.748 0.748 0.756
0.252 0.252 0.244
0.000 0.000 0.000
```

Results
density = 9.2 g cm⁻³
ΔE_f = -0.28 eV/atom

***

# 3
VASP calculation (PBE) on a geometry-optimized Ac3Cd2Hg structure.

POSCAR file:
```
Ac3Cd2Hg
1.0
4.064 0.000 0.000
0.000 5.450 -1.804
0.000 -0.012 9.099
Cd Hg Ac
2 1 3
direct
0.000 0.671 0.342
0.000 0.329 0.658
0.000 0.000 0.000
0.500 0.164 0.329
0.500 0.500 0.000
0.500 0.836 0.671
```

Results
density = 9.1 g cm⁻³
ΔE_f = -0.35 eV/atom

***

# 4
VASP calculation (PBE) on a geometry-optimized AcCd3Hg4 structure.

POSCAR file:
```
AcCd3Hg4
1.0
5.062 0.000 0.000
0.000 8.152 0.000
0.000 0.000 10.127
Cd Hg Ac
6 8 2
direct
0.507 0.000 0.250
0.502 0.500 0.250
0.493 0.000 0.750
0.498 0.500 0.750
0.000 0.000 0.500
0.000 0.000 0.000
0.500 0.772 0.000
0.994 0.228 0.750
0.006 0.772 0.250
0.994 0.772 0.750
0.500 0.772 0.500
0.006 0.228 0.250
0.500 0.228 0.000
0.500 0.228 0.500
0.000 0.500 0.500
0.000 0.500 0.000
```

Results
density = 10.9 g cm⁻³
ΔE_f = -0.20 eV/atom